Record 1
! CoRe2 SCAN single point on PBEsol structure; values from VASP
&SYSTEM
  ibrav = 0, nat = 6, ntyp = 2
/
ATOMIC_SPECIES
Re 186.21 Re.upf
Co 58.93 Co.upf
ATOMIC_POSITIONS crystal
Re 0.0000 0.0000 0.5000
Re 0.3333 0.6667 0.7500
Re 0.6667 0.3333 0.2500
Re 0.0000 0.0000 0.0000
Co 0.3333 0.6667 0.2500
Co 0.6667 0.3333 0.7500
CELL_PARAMETERS angstrom
4.1537 0.0000 0.0000
-2.0768 3.5972 0.0000
0.0000 0.0000 5.2302
! SG: No. 194
! Formation energy from the elements (eV per atom): 0.08
! ΔE to the lowest computed polymorph (meV/atom): 34


Record 2
! Co3Re SCAN single point on PBEsol structure; values from VASP
&SYSTEM
  ibrav = 0, nat = 4, ntyp = 2
/
ATOMIC_SPECIES
Co 58.93 Co.upf
Re 186.21 Re.upf
ATOMIC_POSITIONS crystal
Co 0.0000 0.5000 0.0000
Co 0.5000 0.0000 0.0000
Co 0.0000 0.0000 0.5000
Re 0.5000 0.5000 0.5000
CELL_PARAMETERS angstrom
-2.5750 -2.3435 0.5824
1.7570 -1.2341 2.8021
-1.6566 2.3338 2.0666
! SG: No. 221
! Formation energy from the elements (eV per atom): 0.26


Look up the formation energy from the elements of the second one.
0.26 eV per atom


Which formula does entry 2 have?
Co3Re


Which value of formation energy from the elements does entry 1 give?
0.08 eV per atom


Please write out number 2 again, unchanged.
! Co3Re SCAN single point on PBEsol structure; values from VASP
&SYSTEM
  ibrav = 0, nat = 4, ntyp = 2
/
ATOMIC_SPECIES
Co 58.93 Co.upf
Re 186.21 Re.upf
ATOMIC_POSITIONS crystal
Co 0.0000 0.5000 0.0000
Co 0.5000 0.0000 0.0000
Co 0.0000 0.0000 0.5000
Re 0.5000 0.5000 0.5000
CELL_PARAMETERS angstrom
-2.5750 -2.3435 0.5824
1.7570 -1.2341 2.8021
-1.6566 2.3338 2.0666
! SG: No. 221
! Formation energy from the elements (eV per atom): 0.26